*i*
VASP calculation (PBE-GGA) on GeSbF2 after structural relaxation.

Cell and atoms, written as POSCAR:
```
GeSbF2
1.0
-2.9744 -3.4563 -4.5723
5.7198 -2.1219 -2.1168
1.1169 -6.2686 -0.5479
F Ge Sb
4 2 2
direct
0.2626 0.6250 0.2500
0.4874 0.1250 0.2500
0.8750 0.7374 0.7500
0.3750 0.5126 0.7500
0.2500 0.7500 0.5000
0.5000 0.5000 0.0000
0.7500 0.2500 0.5000
0.0000 0.0000 0.0000
```

Values from the calculation:
Its density of states at the Fermi level is 0.114 states/eV per atom. The value obtained for the total magnetization is 0.00 μB/cell. Its symmetry is I-42d (122).

=====

*ii*
VASP calculation (PBE-GGA) on GeSbF2 after structural relaxation.

Cell and atoms, written as POSCAR:
```
GeSbF2
1.0
-4.3049 1.3083 0.3203
-2.1402 1.6211 -3.6247
-3.2481 -2.4283 -1.9749
Ge Sb F
1 1 2
direct
0.0000 0.0000 0.0000
0.5000 0.5000 0.5000
0.2500 0.2500 0.2500
0.7500 0.7500 0.7500
```

Values from the calculation:
Its density of states at the Fermi level is 1.074 states/eV per atom. The value obtained for the total magnetization is 0.00 μB/cell. Its symmetry is Fm-3m (225).

=====

*iii*
VASP calculation (PBE-GGA) on GeSbF2 after structural relaxation.

Cell and atoms, written as POSCAR:
```
GeSbF2
1.0
1.7956 0.0000 8.2740
-0.8978 1.5550 8.2740
-0.8978 -1.5550 8.2740
F Sb Ge
2 1 1
direct
0.9143 0.9143 0.9143
0.0857 0.0857 0.0857
0.5000 0.5000 0.5000
0.0000 0.0000 0.0000
```

Values from the calculation:
Its density of states at the Fermi level is 0.341 states/eV per atom. The value obtained for the total magnetization is 0.00 μB/cell. Its symmetry is R-3m (166).

=====

Best to worst by energy: *iii*, *i*, *ii*.

=====

*i*
VASP calculation (PBE-GGA) on GeSbF3 after structural relaxation.

Cell and atoms, written as POSCAR:
```
GeSbF3
1.0
4.5620 0.0000 0.0000
0.0000 4.5620 0.0000
0.0000 0.0000 4.5620
F Ge Sb
3 1 1
direct
0.5000 0.0000 0.0000
0.0000 0.0000 0.5000
0.0000 0.5000 0.0000
0.5000 0.5000 0.5000
0.0000 0.0000 0.0000
```

Values from the calculation:
Its density of states at the Fermi level is 0.603 states/eV per atom. The value obtained for the total magnetization is 1.64 μB/cell. Its symmetry is Pm-3m (221).

=====

*ii*
VASP calculation (PBE-GGA) on GeSbF3 after structural relaxation.

Cell and atoms, written as POSCAR:
```
GeSbF3
1.0
4.4755 0.0000 0.0000
0.0000 4.4755 0.0000
0.0000 0.0000 4.4755
Ge F Sb
1 3 1
direct
0.0000 0.0000 0.0000
0.0000 0.0000 0.5000
0.0000 0.5000 0.0000
0.5000 0.0000 0.0000
0.5000 0.5000 0.5000
```

Values from the calculation:
Its density of states at the Fermi level is 0.759 states/eV per atom. The value obtained for the total magnetization is 2.01 μB/cell. Its symmetry is Pm-3m (221).

=====

Best to worst by energy: *ii*, *i*.

=====

*i*
VASP calculation (PBE-GGA) on GeSb2TeF after structural relaxation.

Cell and atoms, written as POSCAR:
```
GeSb2TeF
1.0
-5.3391 0.2492 0.2117
-0.3090 -2.7098 -4.6016
-0.1068 -4.5927 2.7118
Ge Sb Te F
1 2 1 1
direct
0.0000 0.0000 0.0000
0.0000 0.5000 0.0000
0.5000 0.0000 0.0000
0.0000 0.0000 0.5000
0.5000 0.5000 0.5000
```

Values from the calculation:
Its density of states at the Fermi level is 0.820 states/eV per atom. The value obtained for the total magnetization is 0.00 μB/cell. Its symmetry is P4/mmm (123).

=====

*ii*
VASP calculation (PBE-GGA) on GeSb2TeF after structural relaxation.

Cell and atoms, written as POSCAR:
```
GeSb2TeF
1.0
4.7518 0.0000 0.0000
0.0000 4.7518 0.0000
0.0000 0.0000 5.5177
Ge Te Sb F
1 1 2 1
direct
0.5000 0.5000 0.5000
0.0000 0.0000 0.5000
0.5000 0.0000 0.0000
0.0000 0.5000 0.0000
0.0000 0.0000 0.0000
```

Values from the calculation:
Its density of states at the Fermi level is 0.400 states/eV per atom. The value obtained for the total magnetization is 0.00 μB/cell. Its symmetry is P4/mmm (123).

=====

Best to worst by energy: *ii*, *i*.

=====

*i*
VASP calculation (PBE-GGA) on ScGeF3 after structural relaxation.

Cell and atoms, written as POSCAR:
```
ScGeF3
1.0
-1.3515 -2.5588 -3.3268
4.1590 -0.3469 -1.4228
0.5639 -3.5741 2.5199
Ge F Sc
1 3 1
direct
0.0000 0.0000 0.0000
0.0000 0.0000 0.5000
0.5000 0.0000 0.0000
0.0000 0.5000 0.0000
0.5000 0.5000 0.5000
```

Values from the calculation:
Its density of states at the Fermi level is 0.588 states/eV per atom. The value obtained for the total magnetization is 1.99 μB/cell. Its symmetry is Pm-3m (221).

=====

*ii*
VASP calculation (PBE-GGA) on ScGeF3 after structural relaxation.

Cell and atoms, written as POSCAR:
```
ScGeF3
1.0
-3.0170 2.5788 -1.4640
-1.8621 -3.2730 -1.9277
-2.3078 -0.7304 3.4694
F Sc Ge
3 1 1
direct
0.0000 0.5000 0.0000
0.5000 0.0000 0.0000
0.0000 0.0000 0.5000
0.0000 0.0000 0.0000
0.5000 0.5000 0.5000
```

Values from the calculation:
Its density of states at the Fermi level is 0.853 states/eV per atom. The value obtained for the total magnetization is 0.00 μB/cell. Its symmetry is Pm-3m (221).

=====

Best to worst by energy: *ii*, *i*.

=====

*i*
VASP calculation (PBE-GGA) on Sc2GeF after structural relaxation.

Cell and atoms, written as POSCAR:
```
Sc2GeF
1.0
0.5523 2.8903 8.5568
0.3538 -0.1737 9.0400
3.1085 1.1270 8.4229
Ge Sc F
1 2 1
direct
0.0000 0.0000 0.0000
0.1014 0.1014 0.1014
0.8986 0.8986 0.8986
0.5000 0.5000 0.5000
```

Values from the calculation:
Its density of states at the Fermi level is 0.658 states/eV per atom. The value obtained for the total magnetization is 0.00 μB/cell. Its symmetry is R-3m (166).

=====

*ii*
VASP calculation (PBE-GGA) on Sc2GeF after structural relaxation.

Cell and atoms, written as POSCAR:
```
Sc2GeF
1.0
5.3773 0.0000 0.0000
0.0000 5.3773 0.0000
2.6886 2.6886 5.8150
Sc Ge F
4 2 2
direct
0.1885 0.6250 0.2500
0.8750 0.8115 0.7500
0.3750 0.4385 0.7500
0.5615 0.1250 0.2500
0.7500 0.2500 0.5000
0.0000 0.0000 0.0000
0.5000 0.5000 0.0000
0.2500 0.7500 0.5000
```

Values from the calculation:
Its density of states at the Fermi level is 0.695 states/eV per atom. The value obtained for the total magnetization is 0.00 μB/cell. Its symmetry is I-42d (122).

=====

*iii*
VASP calculation (PBE-GGA) on Sc2GeF after structural relaxation.

Cell and atoms, written as POSCAR:
```
Sc2GeF
1.0
0.5111 -4.5485 0.6431
-3.7227 -2.7156 0.3619
-1.0501 -2.9474 -3.4020
Ge Sc F
1 2 1
direct
0.5000 0.5000 0.5000
0.2500 0.2500 0.2500
0.7500 0.7500 0.7500
0.0000 0.0000 0.0000
```

Values from the calculation:
Its density of states at the Fermi level is 0.884 states/eV per atom. The value obtained for the total magnetization is 0.85 μB/cell. Its symmetry is Fm-3m (225).

=====

Best to worst by energy: *iii*, *ii*, *i*.

=====

*i*
VASP calculation (PBE-GGA) on ScGeF2 after structural relaxation.

Cell and atoms, written as POSCAR:
```
ScGeF2
1.0
-4.1487 -1.4827 2.5552
1.2449 -4.8724 -0.8059
1.7300 -3.2154 6.0190
F Sc Ge
4 2 2
direct
0.8750 0.6730 0.7500
0.3270 0.6250 0.2500
0.3750 0.5770 0.7500
0.4230 0.1250 0.2500
0.2500 0.7500 0.5000
0.5000 0.5000 0.0000
0.0000 0.0000 0.0000
0.7500 0.2500 0.5000
```

Values from the calculation:
Its density of states at the Fermi level is 0.515 states/eV per atom. The value obtained for the total magnetization is 1.47 μB/cell. Its symmetry is I-42d (122).

=====

*ii*
VASP calculation (PBE-GGA) on ScGeF2 after structural relaxation.

Cell and atoms, written as POSCAR:
```
ScGeF2
1.0
-7.3075 0.1561 4.1249
-5.5548 -1.5537 6.0966
-5.4289 1.5857 6.2009
F Sc Ge
2 1 1
direct
0.0797 0.0797 0.0797
0.9203 0.9203 0.9203
0.0000 0.0000 0.0000
0.5000 0.5000 0.5000
```

Values from the calculation:
Its density of states at the Fermi level is 0.661 states/eV per atom. The value obtained for the total magnetization is 0.23 μB/cell. Its symmetry is R-3m (166).

=====

*iii*
VASP calculation (PBE-GGA) on ScGeF2 after structural relaxation.

Cell and atoms, written as POSCAR:
```
ScGeF2
1.0
1.7465 0.0000 9.6733
-0.8733 1.5125 9.6733
-0.8733 -1.5125 9.6733
Sc Ge F
1 1 2
direct
0.5000 0.5000 0.5000
0.0000 0.0000 0.0000
0.1236 0.1236 0.1236
0.8764 0.8764 0.8764
```

Values from the calculation:
Its density of states at the Fermi level is 0.508 states/eV per atom. The value obtained for the total magnetization is 0.00 μB/cell. Its symmetry is R-3m (166).

=====

*iv*
VASP calculation (PBE-GGA) on ScGeF2 after structural relaxation.

Cell and atoms, written as POSCAR:
```
ScGeF2
1.0
0.5812 -3.8234 -1.9431
0.6841 -3.5527 2.3753
-3.0604 -3.0490 0.2641
F Ge Sc
2 1 1
direct
0.7500 0.7500 0.7500
0.2500 0.2500 0.2500
0.5000 0.5000 0.5000
0.0000 0.0000 0.0000
```

Values from the calculation:
Its density of states at the Fermi level is 0.948 states/eV per atom. The value obtained for the total magnetization is 0.00 μB/cell. Its symmetry is Fm-3m (225).

=====

Best to worst by energy: *iii*, *i*, *ii*, *iv*.

=====

*i*
VASP calculation (PBE-GGA) on ScGe2F after structural relaxation.

Cell and atoms, written as POSCAR:
```
ScGe2F
1.0
-0.5923 -2.4135 -2.5649
3.5208 -0.3400 -0.4931
1.7354 -9.3238 5.8861
F Ge Sc
2 4 2
direct
0.2500 0.7500 0.5000
0.5000 0.5000 0.0000
0.8750 0.8798 0.7500
0.1202 0.6250 0.2500
0.3750 0.3702 0.7500
0.6298 0.1250 0.2500
0.0000 0.0000 0.0000
0.7500 0.2500 0.5000
```

Values from the calculation:
Its density of states at the Fermi level is 0.823 states/eV per atom. The value obtained for the total magnetization is 0.00 μB/cell. Its symmetry is I-42d (122).

=====

*ii*
VASP calculation (PBE-GGA) on ScGe2F after structural relaxation.

Cell and atoms, written as POSCAR:
```
ScGe2F
1.0
-0.8872 -2.0385 4.0765
-2.3328 2.3032 3.2885
-4.3408 -1.2503 1.0745
F Ge Sc
1 2 1
direct
0.0000 0.0000 0.0000
0.2500 0.2500 0.2500
0.7500 0.7500 0.7500
0.5000 0.5000 0.5000
```

Values from the calculation:
Its density of states at the Fermi level is 0.130 states/eV per atom. The value obtained for the total magnetization is 0.00 μB/cell. Its symmetry is Fm-3m (225).

=====

Best to worst by energy: *i*, *ii*.

=====

*i*
VASP calculation (PBE-GGA) on GeSe2F after structural relaxation.

Cell and atoms, written as POSCAR:
```
GeSe2F
1.0
-5.6596 6.3234 3.3381
1.3159 -3.2633 8.4130
-0.4755 2.9065 6.1441
F Ge Se
2 2 4
direct
0.5000 0.5000 0.0000
0.2500 0.7500 0.5000
0.7500 0.2500 0.5000
0.0000 0.0000 0.0000
0.6875 0.1250 0.2500
0.8750 0.9375 0.7500
0.3750 0.3125 0.7500
0.0625 0.6250 0.2500
```

Values from the calculation:
Its density of states at the Fermi level is 0.227 states/eV per atom. The value obtained for the total magnetization is 0.00 μB/cell. Its symmetry is I-42d (122).

=====

*ii*
VASP calculation (PBE-GGA) on GeSe2F after structural relaxation.

Cell and atoms, written as POSCAR:
```
GeSe2F
1.0
2.1455 0.0000 7.4282
-1.0728 1.8581 7.4282
-1.0728 -1.8581 7.4282
F Ge Se
1 1 2
direct
0.0000 0.0000 0.0000
0.5000 0.5000 0.5000
0.9022 0.9022 0.9022
0.0978 0.0978 0.0978
```

Values from the calculation:
Its density of states at the Fermi level is 0.372 states/eV per atom. The value obtained for the total magnetization is 0.00 μB/cell. Its symmetry is R-3m (166).

=====

Best to worst by energy: *i*, *ii*.

=====

*i*
VASP calculation (PBE-GGA) on GeSe2F after structural relaxation.

Cell and atoms, written as POSCAR:
```
GeSe2F
1.0
1.6887 0.0000 9.2119
-0.8443 1.4624 9.2119
-0.8443 -1.4624 9.2119
Se Ge F
2 1 1
direct
0.9063 0.9063 0.9063
0.0937 0.0937 0.0937
0.0000 0.0000 0.0000
0.5000 0.5000 0.5000
```

Values from the calculation:
Its density of states at the Fermi level is 0.469 states/eV per atom. The value obtained for the total magnetization is 0.00 μB/cell. Its symmetry is R-3m (166).

=====

*ii*
VASP calculation (PBE-GGA) on GeSe2F after structural relaxation.

Cell and atoms, written as POSCAR:
```
GeSe2F
1.0
0.0298 -2.3523 3.9244
1.7721 1.8760 3.7783
-2.7477 1.2510 3.4381
Se Ge F
2 1 1
direct
0.2500 0.2500 0.2500
0.7500 0.7500 0.7500
0.5000 0.5000 0.5000
0.0000 0.0000 0.0000
```

Values from the calculation:
Its density of states at the Fermi level is 0.879 states/eV per atom. The value obtained for the total magnetization is 0.00 μB/cell. Its symmetry is Fm-3m (225).

=====

Best to worst by energy: *ii*, *i*.

=====

*i*
VASP calculation (PBE-GGA) on Ge3SeF after structural relaxation.

Cell and atoms, written as POSCAR:
```
Ge3SeF
1.0
-3.3177 -3.2782 0.5239
0.4058 -1.1356 -4.5358
3.2949 -3.1610 1.0862
F Ge Se
1 3 1
direct
0.0000 0.0000 0.0000
0.0000 0.5000 0.0000
0.0000 0.0000 0.5000
0.5000 0.0000 0.0000
0.5000 0.5000 0.5000
```

Values from the calculation:
Its density of states at the Fermi level is 1.031 states/eV per atom. The value obtained for the total magnetization is 0.00 μB/cell. Its symmetry is Pm-3m (221).

=====

*ii*
VASP calculation (PBE-GGA) on Ge3SeF after structural relaxation.

Cell and atoms, written as POSCAR:
```
Ge3SeF
1.0
-2.1194 -0.2317 4.7750
-3.0700 -3.9380 -1.5537
3.6647 -3.4329 1.4600
Se F Ge
1 1 3
direct
0.0000 0.0000 0.0000
0.5000 0.5000 0.5000
0.0000 0.5000 0.0000
0.5000 0.0000 0.0000
0.0000 0.0000 0.5000
```

Values from the calculation:
Its density of states at the Fermi level is 0.703 states/eV per atom. The value obtained for the total magnetization is 0.00 μB/cell. Its symmetry is Pm-3m (221).

=====

Best to worst by energy: *i*, *ii*.

=====

*i*
VASP calculation (PBE-GGA) on Ge2SeF after structural relaxation.

Cell and atoms, written as POSCAR:
```
Ge2SeF
1.0
7.0051 0.0000 0.0000
0.0000 7.0051 0.0000
3.5025 3.5025 3.1157
Se Ge F
2 4 2
direct
0.7500 0.2500 0.5000
0.0000 0.0000 0.0000
0.8750 0.8543 0.7500
0.1457 0.6250 0.2500
0.3750 0.3957 0.7500
0.6043 0.1250 0.2500
0.5000 0.5000 0.0000
0.2500 0.7500 0.5000
```

Values from the calculation:
Its density of states at the Fermi level is 0.478 states/eV per atom. The value obtained for the total magnetization is 0.00 μB/cell. Its symmetry is I-42d (122).

=====

*ii*
VASP calculation (PBE-GGA) on Ge2SeF after structural relaxation.

Cell and atoms, written as POSCAR:
```
Ge2SeF
1.0
1.2150 0.4313 4.4831
-1.9981 -2.7094 3.2291
2.4755 -3.3627 2.0796
Ge Se F
2 1 1
direct
0.2500 0.2500 0.2500
0.7500 0.7500 0.7500
0.5000 0.5000 0.5000
0.0000 0.0000 0.0000
```

Values from the calculation:
Its density of states at the Fermi level is 0.453 states/eV per atom. The value obtained for the total magnetization is 0.00 μB/cell. Its symmetry is Fm-3m (225).

=====

Best to worst by energy: *i*, *ii*.

=====

*i*
VASP calculation (PBE-GGA) on Si3GeF after structural relaxation.

Cell and atoms, written as POSCAR:
```
Si3GeF
1.0
-2.0570 0.2155 4.3497
1.0247 -4.6515 0.7150
4.2328 1.2308 1.9407
Si Ge F
3 1 1
direct
0.5000 0.0000 0.0000
0.0000 0.0000 0.5000
0.0000 0.5000 0.0000
0.0000 0.0000 0.0000
0.5000 0.5000 0.5000
```

Values from the calculation:
Its density of states at the Fermi level is 0.584 states/eV per atom. The value obtained for the total magnetization is 0.00 μB/cell. Its symmetry is Pm-3m (221).

=====

*ii*
VASP calculation (PBE-GGA) on Si3GeF after structural relaxation.

Cell and atoms, written as POSCAR:
```
Si3GeF
1.0
-1.7836 0.8052 -3.9952
2.8373 -2.8852 -1.8482
-2.9256 -3.2891 0.6432
F Si Ge
1 3 1
direct
0.0000 0.0000 0.0000
0.5000 0.0000 0.0000
0.0000 0.0000 0.5000
0.0000 0.5000 0.0000
0.5000 0.5000 0.5000
```

Values from the calculation:
Its density of states at the Fermi level is 0.760 states/eV per atom. The value obtained for the total magnetization is 0.00 μB/cell. Its symmetry is Pm-3m (221).

=====

Best to worst by energy: *ii*, *i*.